Density functional theory data (PBE) for a geometry-optimized CaPmNdHo structure.

The final energy comes out at -3.977 eV/atom. As for the energy above the lowest structure with this stoichiometry: 0.0000 eV per atom. The calculation puts the formation energy at 0.0470 eV per atom.

The space group is P4mm (No. 99) and the conventional cell measures 3.6567, 3.6567 and 10.5120 Å, with angles of 90.00, 90.00 and 90.00 degrees. The asymmetric unit holds Ca at (0.0000, 0.0000, 0.0000), Pm at (0.5000, 0.5000, 0.7343), Nd at (0.5000, 0.5000, 0.2675) and Ho at (0.0000, 0.0000, 0.5022).



Density functional theory data (PBE) for a geometry-optimized Hf4TlPb structure.

The final energy comes out at -7.608 eV/atom. As for the energy above the lowest structure with this stoichiometry: 0.0484 eV per atom. The calculation puts the formation energy at 0.0405 eV per atom.

The space group is P2_1/m (No. 11) and the conventional cell measures 5.8233, 5.9118 and 8.4292 Å, with angles of 90.00, 107.88 and 90.00 degrees. The asymmetric unit holds Hf at (0.1323, 0.2500, 0.0254), Hf at (0.2155, 0.0014, 0.6838), Hf at (0.2418, 0.7500, 0.3245), Tl at (0.3859, 0.7500, 0.0235) and Pb at (0.3030, 0.2500, 0.3864).



Density functional theory data (PBE) for a geometry-optimized PaSn2Rh2 structure.

The final energy comes out at -7.058 eV/atom. The calculation puts the formation energy at -0.6175 eV per atom.

The space group is P2_1/m (No. 11) and the conventional cell measures 4.9261, 4.4921 and 9.9610 Å, with angles of 90.00, 96.00 and 90.00 degrees. The asymmetric unit holds Pa at (0.1876, 0.2500, 0.1525), Sn at (0.2488, 0.2500, 0.4984), Sn at (0.2927, 0.2500, 0.8011), Rh at (0.2336, 0.7500, 0.3311) and Rh at (0.3218, 0.7500, 0.9630).



Density functional theory data (PBE) for a geometry-optimized Zr2InCl structure.

The final energy comes out at -5.722 eV/atom. As for the raw formation energy: -116.5 kJ/mol of formula units. As for the energy above the lowest structure with this stoichiometry: 0.2814 eV per atom.

The space group is Imm2 (No. 44) and the conventional cell measures 3.2218, 4.8989 and 11.3696 Å, with angles of 90.00, 90.00 and 90.00 degrees. The asymmetric unit holds Zr at (0.0000, 0.0000, 0.0000), Zr at (0.0000, 0.5000, 0.2652), In at (0.0000, 0.0000, 0.4483) and Cl at (0.0000, 0.5000, 0.6866).



Density functional theory data (PBE) for a geometry-optimized PrHo4Th2 structure.

The final energy comes out at -4.609 eV/atom. As for the energy above the lowest structure with this stoichiometry: 0.7163 eV per atom. The calculation puts the formation energy at 0.8100 eV per atom.

The space group is I4/mmm (No. 139) and the conventional cell measures 5.6263, 5.6263 and 16.5366 Å, with angles of 90.00, 90.00 and 90.00 degrees. The asymmetric unit holds Pr at (0.0000, 0.0000, 0.0000), Ho at (0.0000, 0.0000, 0.1805), Ho at (0.0000, 0.5000, 0.0000) and Th at (0.0000, 0.0000, 0.3876).



Density functional theory data (PBE) for a geometry-optimized TeS2F structure.

The final energy comes out at -3.383 eV/atom. As for the raw formation energy: -25.6 kJ/mol of formula units. As for the energy above the lowest structure with this stoichiometry: 0.2479 eV per atom.

The space group is R-3m (No. 166, hexagonal axes) and the conventional cell measures 3.6207, 3.6207 and 22.8364 Å, with angles of 90.00, 90.00 and 120.00 degrees. The asymmetric unit holds Te at (0.0000, 0.0000, 0.0000), S at (0.0000, 0.0000, 0.4090) and F at (0.0000, 0.0000, 0.5000).